Record 1
A plane-wave DFT calculation with GGA-PBE was carried out for PmPr2Er7 after structural relaxation.

Lattice parameters (Å, degrees): 6.167 9.419 9.433 141.89 109.12 77.36
Sites, in units of the cell vectors:
1 Pr 0.801 0.000 0.603
2 Er 0.102 0.500 0.201
3 Er 0.301 0.502 0.601
4 Er 0.500 0.500 0.000
5 Pr 0.199 0.000 0.397
6 Er 0.401 0.999 0.802
7 Er 0.599 0.001 0.198
8 Er 0.898 0.500 0.799
9 Er 0.699 0.498 0.399
10 Pm 0.000 0.000 0.000

Summary:
- energy relative to the elements (meV per atom) = 23
- theoretical density (g cm⁻³) = 8.32
- ΔE to the lowest computed polymorph (eV/f.u.) = 0.00
- electronic total energy (eV per atom) = -4.602
- M_tot (μB/atom) = 0.00


Record 2
A plane-wave DFT calculation with GGA-PBE was carried out for NpMnGe after structural relaxation.

Lattice parameters (Å, degrees): 3.273 4.391 4.391 120.00 90.00 90.00
Sites, in units of the cell vectors:
1 Ge 0.167 0.667 0.333
2 Mn 0.166 0.000 0.000
3 Np 0.667 0.333 0.667

Summary:
- energy relative to the elements (meV per atom) = -141
- theoretical density (g cm⁻³) = 11.08
- electronic total energy (eV per atom) = -9.051
- M_tot (μB/atom) = 0.30


Record 3
A plane-wave DFT calculation with GGA-PBE was carried out for Cu4Pd5Au after structural relaxation.

Lattice parameters (Å, degrees): 3.009 3.009 15.857 90.00 90.00 90.00
Sites, in units of the cell vectors:
1 Pd 0.500 0.500 0.500
2 Pd 0.500 0.500 0.309
3 Cu 0.000 0.000 0.213
4 Pd 0.500 0.500 0.882
5 Pd 0.500 0.500 0.691
6 Cu 0.000 0.000 0.405
7 Cu 0.000 0.000 0.595
8 Pd 0.500 0.500 0.118
9 Au 0.000 0.000 0.000
10 Cu 0.000 0.000 0.787

Summary:
- energy relative to the elements (meV per atom) = -107
- theoretical density (g cm⁻³) = 11.37
- electronic total energy (eV per atom) = -4.670
- M_tot (μB/atom) = 0.00


Record 4
A plane-wave DFT calculation with GGA-PBE was carried out for PmScPaIn after structural relaxation.

Lattice parameters (Å, degrees): 5.268 5.268 5.268 60.00 60.00 60.00
Sites, in units of the cell vectors:
1 Pm 0.250 0.250 0.250
2 Pa 0.500 0.500 0.500
3 Sc 0.750 0.750 0.750
4 In 0.000 0.000 0.000

Summary:
- energy relative to the elements (meV per atom) = 116
- theoretical density (g cm⁻³) = 8.61
- electronic total energy (eV per atom) = -5.713
- M_tot (μB/atom) = 0.00


Record 5
A plane-wave DFT calculation with GGA-PBE was carried out for NaV2SeS after structural relaxation.

Lattice parameters (Å, degrees): 4.545 5.040 4.545 90.00 90.00 90.00
Sites, in units of the cell vectors:
1 S 0.000 0.000 0.000
2 V 0.000 0.000 0.500
3 V 0.500 0.000 0.000
4 Se 0.500 0.500 0.500
5 Na 0.000 0.500 0.000

Summary:
- theoretical density (g cm⁻³) = 3.76
- electronic total energy (eV per atom) = -5.485
- M_tot (μB/atom) = 1.21


Record 6
A plane-wave DFT calculation with GGA-PBE was carried out for Li5InAg2Au2 after structural relaxation.

Lattice parameters (Å, degrees): 3.981 9.511 9.511 90.00 90.00 90.00
Sites, in units of the cell vectors:
1 In 0.000 0.000 0.000
2 Ag 0.000 0.328 0.828
3 Li 0.500 0.803 0.908
4 Li 0.500 0.303 0.592
5 Li 0.500 0.908 0.197
6 Li 0.500 0.500 0.000
7 Li 0.500 0.592 0.697
8 Au 0.000 0.378 0.122
9 Li 0.500 0.697 0.408
10 Li 0.500 0.408 0.303
11 Li 0.500 0.197 0.092
12 Ag 0.000 0.672 0.172
13 Li 0.500 0.092 0.803
14 In 0.000 0.500 0.500
15 Li 0.500 0.000 0.500
16 Ag 0.000 0.172 0.328
17 Au 0.000 0.878 0.378
18 Au 0.000 0.122 0.622
19 Au 0.000 0.622 0.878
20 Ag 0.000 0.828 0.672

Summary:
- energy relative to the elements (meV per atom) = -255
- theoretical density (g cm⁻³) = 7.00
- electronic total energy (eV per atom) = -2.711
- M_tot (μB/atom) = 0.00


Record 7
A plane-wave DFT calculation with GGA-PBE was carried out for ThCd4Pb after structural relaxation.

Lattice parameters (Å, degrees): 6.020 6.020 6.020 60.00 60.00 60.00
Sites, in units of the cell vectors:
1 Cd 0.625 0.125 0.625
2 Th 0.250 0.250 0.250
3 Cd 0.125 0.625 0.625
4 Cd 0.625 0.625 0.125
5 Pb 0.000 0.000 0.000
6 Cd 0.625 0.625 0.625

Summary:
- energy relative to the elements (meV per atom) = 13
- theoretical density (g cm⁻³) = 9.57
- electronic total energy (eV per atom) = -2.451
- M_tot (μB/atom) = 0.00


Record 8
A plane-wave DFT calculation with GGA-PBE was carried out for Tb2CeTm4 after structural relaxation.

Lattice parameters (Å, degrees): 3.546 3.545 19.889 95.15 90.00 120.01
Sites, in units of the cell vectors:
1 Tm 0.524 0.047 0.812
2 Tm 0.001 0.002 0.238
3 Tb 0.715 0.430 0.381
4 Tm 0.905 0.810 0.951
5 Ce 0.809 0.618 0.668
6 Tm 0.428 0.856 0.524
7 Tb 0.620 0.240 0.095

Summary:
- energy relative to the elements (meV per atom) = 30
- theoretical density (g cm⁻³) = 8.74
- ΔE to the lowest computed polymorph (eV/f.u.) = 0.00
- electronic total energy (eV per atom) = -4.696
- M_tot (μB/atom) = 0.12


Record 9
A plane-wave DFT calculation with GGA-PBE was carried out for Pa2Co4P3Au after structural relaxation.

Lattice parameters (Å, degrees): 3.787 3.787 10.281 90.00 90.00 90.00
Sites, in units of the cell vectors:
1 Pa 0.500 0.000 0.242
2 P 0.000 0.000 0.500
3 P 0.000 0.500 0.118
4 Co 0.500 0.000 0.671
5 Au 0.500 0.500 0.500
6 Co 0.500 0.500 0.000
7 P 0.500 0.000 0.882
8 Pa 0.000 0.500 0.758
9 Co 0.000 0.000 0.000
10 Co 0.000 0.500 0.329

Summary:
- energy relative to the elements (meV per atom) = -778
- theoretical density (g cm⁻³) = 11.12
- electronic total energy (eV per atom) = -7.470
- M_tot (μB/atom) = 0.09


Record 10
A plane-wave DFT calculation with GGA-PBE was carried out for BaOsPbO6 after structural relaxation.

Lattice parameters (Å, degrees): 5.772 5.772 5.514 90.00 90.00 59.99
Sites, in units of the cell vectors:
1 O 0.340 0.600 0.303
2 Ba 0.000 0.000 0.000
3 Os 0.333 0.333 0.500
4 O 0.600 0.060 0.303
5 O 0.340 0.060 0.697
6 O 0.060 0.340 0.303
7 O 0.060 0.600 0.697
8 O 0.600 0.340 0.697
9 Pb 0.667 0.667 0.500

Summary:
- theoretical density (g cm⁻³) = 6.58
- electronic total energy (eV per atom) = -6.649
- M_tot (μB/atom) = 0.00


Record 11
A plane-wave DFT calculation with GGA-PBE was carried out for TlSeCl after structural relaxation.

Lattice parameters (Å, degrees): 4.945 4.945 4.945 60.00 60.00 60.00
Sites, in units of the cell vectors:
1 Tl 0.000 0.000 0.000
2 Cl 0.500 0.500 0.500
3 Se 0.750 0.750 0.750

Summary:
- theoretical density (g cm⁻³) = 6.19
- electronic total energy (eV per atom) = -2.673
- M_tot (μB/atom) = 0.00


Record 12
A plane-wave DFT calculation with GGA-PBE was carried out for Ta2VFe5Co2 after structural relaxation.

Lattice parameters (Å, degrees): 3.671 8.328 8.328 90.00 90.00 90.00
Sites, in units of the cell vectors:
1 Fe 0.500 0.702 0.434
2 Fe 0.500 0.298 0.566
3 Ta 0.000 0.333 0.833
4 Fe 0.500 0.202 0.066
5 Co 0.000 0.370 0.130
6 Fe 0.500 0.566 0.702
7 Co 0.000 0.870 0.370
8 Ta 0.000 0.167 0.333
9 Ta 0.000 0.667 0.167
10 Co 0.000 0.630 0.870
11 Fe 0.500 0.934 0.202
12 Ta 0.000 0.833 0.667
13 Fe 0.500 0.434 0.298
14 Fe 0.500 0.066 0.798
15 Co 0.000 0.130 0.630
16 V 0.000 0.500 0.500
17 V 0.000 0.000 0.000
18 Fe 0.500 0.000 0.500
19 Fe 0.500 0.500 0.000
20 Fe 0.500 0.798 0.934

Summary:
- energy relative to the elements (meV per atom) = -11
- theoretical density (g cm⁻³) = 10.57
- electronic total energy (eV per atom) = -8.945
- M_tot (μB/atom) = 0.58


Record 13
A plane-wave DFT calculation with GGA-PBE was carried out for LiPdS3 after structural relaxation.

Lattice parameters (Å, degrees): 4.754 4.754 4.754 90.00 90.00 90.00
Sites, in units of the cell vectors:
1 S 0.000 0.000 0.500
2 S 0.500 0.000 0.000
3 S 0.000 0.500 0.000
4 Pd 0.000 0.000 0.000
5 Li 0.500 0.500 0.500

Summary:
- theoretical density (g cm⁻³) = 3.24
- ΔE to the lowest computed polymorph (eV/f.u.) = 3.01
- electronic total energy (eV per atom) = -3.723
- M_tot (μB/atom) = 0.31


Record 14
A plane-wave DFT calculation with GGA-PBE was carried out for Mn2AlCr after structural relaxation.

Lattice parameters (Å, degrees): 4.747 4.747 2.527 78.64 82.04 117.59
Sites, in units of the cell vectors:
1 Cr 0.500 0.500 0.000
2 Mn 0.000 0.000 0.000
3 Mn 0.500 0.000 0.500
4 Al 0.000 0.500 0.500

Summary:
- energy relative to the elements (meV per atom) = -1
- theoretical density (g cm⁻³) = 6.57
- electronic total energy (eV per atom) = -7.927
- M_tot (μB/atom) = 0.54